# FeAgGeTe3

A geometry-optimized FeAgGeTe3 structure (GGA-PBE, the Open Quantum Materials Database).

Lattice parameters (Å, degrees): 8.054 8.054 10.445 90.00 90.00 153.29
Last column: magnetic moment on the atom in μB.
Element x y z (fractional)
Fe1 0.500 0.500 0.000  1.79
Te1 0.883 0.117 0.020  -0.02
Fe2 0.500 0.500 0.500  1.83
Ag1 0.797 0.203 0.250  0.00
Ge1 0.169 0.831 0.250  0.01
Ge2 0.831 0.169 0.750  0.01
Te2 0.117 0.883 0.980  -0.02
Ag2 0.203 0.797 0.750  0.00
Te3 0.117 0.883 0.520  -0.03
Te4 0.536 0.464 0.250  -0.02
Te5 0.464 0.536 0.750  -0.02
Te6 0.883 0.117 0.480  -0.03

Summary:
**Electronic total energy**: -49.999 eV for the cell shown

# FeAgGeW

A geometry-optimized FeAgGeW structure (GGA-PBE, the Open Quantum Materials Database).

Lattice parameters (Å, degrees): 4.400 4.400 4.400 60.00 60.00 60.00
Element x y z (fractional)
Ge1 0.000 0.000 0.000
Fe1 0.750 0.750 0.750
Ag1 0.500 0.500 0.500
W1 0.250 0.250 0.250

Summary:
**Electronic total energy**: -26.332 eV for the cell shown
**Distance to the lowest polymorph of the same formula**: 0 meV per atom

# YFeAgGe

A geometry-optimized YFeAgGe structure (GGA-PBE, the Open Quantum Materials Database).

Lattice parameters (Å, degrees): 4.739 4.739 4.739 60.00 60.00 60.00
Element x y z (fractional)
Ag1 0.500 0.500 0.500
Ge1 0.000 0.000 0.000
Y1 0.250 0.250 0.250
Fe1 0.750 0.750 0.750

Summary:
**Electronic total energy**: -22.602 eV for the cell shown
**Distance to the lowest polymorph of the same formula**: 0 meV per atom

# YFeAgGe

A geometry-optimized YFeAgGe structure (GGA-PBE, the Open Quantum Materials Database).

Lattice parameters (Å, degrees): 4.702 4.702 4.702 60.00 60.00 60.00
Element x y z (fractional)
Ge1 0.000 0.000 0.000
Y1 0.500 0.500 0.500
Ag1 0.250 0.250 0.250
Fe1 0.750 0.750 0.750

Summary:
**Electronic total energy**: -22.119 eV for the cell shown
**Distance to the lowest polymorph of the same formula**: 121 meV per atom

# Li2FeAgH6

A geometry-optimized Li2FeAgH6 structure (GGA-PBE, the Open Quantum Materials Database).

Lattice parameters (Å, degrees): 4.888 4.888 4.888 60.00 60.00 60.00
Last column: magnetic moment on the atom in μB.
Element x y z (fractional)
H1 0.771 0.229 0.771  -0.01
Ag1 0.500 0.500 0.500  -0.03
Fe1 0.000 0.000 0.000  1.10
H2 0.229 0.771 0.771  -0.01
Li1 0.750 0.750 0.750  -0.01
H3 0.229 0.771 0.229  -0.01
H4 0.229 0.229 0.771  -0.01
H5 0.771 0.229 0.229  -0.01
Li2 0.250 0.250 0.250  -0.01
H6 0.771 0.771 0.229  -0.01

Summary:
**Electronic total energy**: -35.373 eV for the cell shown

# Na2FeAgH6

A geometry-optimized Na2FeAgH6 structure (GGA-PBE, the Open Quantum Materials Database).

Lattice parameters (Å, degrees): 5.085 5.085 5.085 60.00 60.00 60.00
Last column: magnetic moment on the atom in μB.
Element x y z (fractional)
H1 0.226 0.774 0.226  -0.01
Na1 0.250 0.250 0.250  0.00
H2 0.774 0.226 0.774  -0.01
H3 0.774 0.226 0.226  -0.01
Fe1 0.000 0.000 0.000  1.12
Na2 0.750 0.750 0.750  0.00
H4 0.226 0.774 0.774  -0.01
Ag1 0.500 0.500 0.500  -0.03
H5 0.774 0.774 0.226  -0.01
H6 0.226 0.226 0.774  -0.01

Summary:
**Electronic total energy**: -34.069 eV for the cell shown

# HfFeAg

A geometry-optimized HfFeAg structure (GGA-PBE, the Open Quantum Materials Database).

Lattice parameters (Å, degrees): 4.279 4.279 4.279 60.00 60.00 60.00
Element x y z (fractional)
Fe1 0.000 0.000 0.000
Ag1 0.250 0.250 0.250
Hf1 0.750 0.750 0.750

Summary:
**Formation energy from the elements**: 0.4812 eV per atom
**Electronic total energy**: -19.645 eV for the cell shown
**Distance to the lowest polymorph of the same formula**: 0 meV per atom

# HfFeAg2

A geometry-optimized HfFeAg2 structure (GGA-PBE, the Open Quantum Materials Database).

Lattice parameters (Å, degrees): 4.541 4.541 4.541 60.00 60.00 60.00
Element x y z (fractional)
Ag1 0.750 0.750 0.750
Hf1 0.500 0.500 0.500
Fe1 0.250 0.250 0.250
Ag2 0.000 0.000 0.000

Summary:
**Formation energy from the elements**: 0.2153 eV per atom
**Electronic total energy**: -23.051 eV for the cell shown